Here is Li3CoH4 after structural relaxation from Alexandria via LeMat-Bulk. Energies are from PBE.

Calculated values
The value obtained for the final energy is -3.554 eV per atom. The calculation puts the excess energy over the best structure of this formula in the dataset at 0.00 eV per formula unit.

Lattice parameters (Å, degrees): 5.4159 7.6748 2.7434 90.00 90.00 90.00
Closest atoms and distances in Å follow each position.
Space group Cmmm (No. 65)
Asymmetric unit:
Li 0.0000 0.0000 0.0000  6 H 2.12-2.15
Li 0.2500 0.2500 0.5000  6 H 1.94
Co 0.0000 0.5000 0.0000  6 H 1.69-1.75
H 0.0000 0.2799 0.0000  1 Co 1.69
H 0.2021 0.5000 0.5000  2 Co 1.75, 2 Li 1.94

---

Here is LiMg3Pt12 after structural relaxation from Alexandria via LeMat-Bulk. Energies are from PBE.

Calculated values
The value obtained for the final energy is -5.506 eV per atom. For the calculated formation energy, the calculation gives -859 kJ/mol of formula units.

Lattice parameters (Å, degrees): 3.9432 3.9432 15.7652 90.00 90.00 90.00
Closest atoms and distances in Å follow each position.
Space group P4/mmm (No. 123)
Asymmetric unit:
Li 0.0000 0.0000 0.0000  12 Pt 2.75-2.79
Mg 0.0000 0.0000 0.2480  12 Pt 2.79-2.80
Mg 0.0000 0.0000 0.5000  12 Pt 2.79-2.80
Pt 0.0000 0.5000 0.1214  2 Li 2.75, 8 Pt 2.75-2.80, 2 Mg 2.80
Pt 0.0000 0.5000 0.3739  8 Pt 2.79-2.81, 4 Mg 2.80
Pt 0.5000 0.5000 0.0000  8 Pt 2.75, 4 Li 2.79
Pt 0.5000 0.5000 0.2472  4 Mg 2.79, 8 Pt 2.80-2.81
Pt 0.5000 0.5000 0.5000  4 Mg 2.79, 8 Pt 2.80

---

Here is V2PdRh after structural relaxation from Alexandria via LeMat-Bulk. Energies are from PBE.

Calculated values
The value obtained for the final energy is -7.989 eV per atom. For the calculated formation energy, the calculation gives -113 kJ/mol of formula units.

Lattice parameters (Å, degrees): 2.7160 2.7160 7.5782 90.00 90.00 90.00
Closest atoms and distances in Å follow each position.
Space group P4/mmm (No. 123)
Asymmetric unit:
V 0.0000 0.0000 0.2413  4 Rh 2.65, 4 V 2.72, 4 Pd 2.74
Pd 0.5000 0.5000 0.5000  4 Pd 2.72, 8 V 2.74
Rh 0.5000 0.5000 0.0000  8 V 2.65, 4 Rh 2.72

---

Here is Re2SbBr after structural relaxation from Alexandria via LeMat-Bulk. Energies are from PBE.

Calculated values
The value obtained for the final energy is -6.397 eV per atom. The calculation puts the excess energy over the best structure of this formula in the dataset at 4.15 eV per formula unit. Its raw formation energy is 1.275 eV/atom.

Lattice parameters (Å, degrees): 3.0775 5.4340 8.8660 90.00 90.00 90.00
Closest atoms and distances in Å follow each position.
Space group Cmmm (No. 65)
Asymmetric unit:
Re 0.0000 0.0000 0.2429  2 Sb 2.65, 2 Br 2.75
Sb 0.0000 0.5000 0.0000  4 Re 2.65
Br 0.0000 0.5000 0.5000  4 Re 2.75, 2 Br 3.08

---

Here is UMn2Si after structural relaxation from Alexandria via LeMat-Bulk. Energies are from PBE.

Calculated values
The value obtained for the final energy is -8.550 eV per atom. Its raw formation energy is 0.212 eV/atom.

Lattice parameters (Å, degrees): 2.7614 2.7614 26.5269 90.00 90.00 120.00
Closest atoms and distances in Å follow each position.
Space group R-3m (No. 166, hexagonal axes)
Asymmetric unit:
U 0.0000 0.0000 0.0000  6 U 2.76, 6 Mn 2.98
Mn 0.0000 0.0000 0.2383  3 Si 2.48, 6 Mn 2.76
Si 0.0000 0.0000 0.5000  6 Mn 2.48, 6 Si 2.76

---

Here is Ac3Ce2PmP6 after structural relaxation from Alexandria via LeMat-Bulk. Energies are from PBE.

Calculated values
The value obtained for the final energy is -6.589 eV per atom. For the calculated formation energy, the calculation gives -1704 kJ/mol of formula units.

Lattice parameters (Å, degrees): 7.3894 12.7982 7.4259 90.00 109.37 90.00
Closest atoms and distances in Å follow each position.
Space group C2/m (No. 12)
Asymmetric unit:
Ac 0.0000 0.0000 0.0000  6 P 3.09-3.12
Ac 0.0000 0.3340 0.0000  6 P 3.09-3.12
Ce 0.0000 0.1669 0.5000  6 P 2.93
Pm 0.0000 0.5000 0.5000  6 P 2.96
P 0.2392 0.0000 0.7289  2 Ce 2.93, 1 Pm 2.96, 3 Ac 3.09-3.12
P 0.2449 0.3315 0.7291  2 Ce 2.93, 1 Pm 2.96, 3 Ac 3.09-3.12

---

Here is Na2H2NCl2 after structural relaxation from Alexandria via LeMat-Bulk. Energies are from PBE.

Calculated values
The value obtained for the final energy is -3.682 eV per atom.

Lattice parameters (Å, degrees): 11.0087 3.6941 7.2085 90.00 130.47 90.00
Closest atoms and distances in Å follow each position.
Space group C2/m (No. 12)
Asymmetric unit:
Na 0.0022 0.0000 0.2716  2 N 2.68, 4 H 2.86-2.87, 2 Cl 3.00
H 0.1216 0.5000 0.1201  1 N 1.02
N 0.0000 0.5000 0.0000  2 H 1.02
Cl 0.2004 0.5000 0.7004  2 H 2.37

---

Here is CaCe2ErS4 after structural relaxation from Alexandria via LeMat-Bulk. Energies are from PBE.

Calculated values
The value obtained for the final energy is -6.379 eV per atom. Its raw formation energy is -2.011 eV/atom.

Lattice parameters (Å, degrees): 6.8736 3.9574 6.9851 90.00 109.02 90.00
Closest atoms and distances in Å follow each position.
Space group P2/m (No. 10)
Asymmetric unit:
Ca 0.0000 0.0000 0.0000  6 S 2.79
Ce 0.0000 0.5000 0.5000  6 S 2.89
Ce 0.5000 0.0000 0.5000  6 S 2.85-2.86
Er 0.5000 0.5000 0.0000  6 S 2.75-2.76
S 0.2507 0.5000 0.2389  1 Er 2.75, 2 Ca 2.79, 3 Ce 2.85-2.89
S 0.2582 0.0000 0.7640  2 Er 2.76, 1 Ca 2.79, 3 Ce 2.86-2.89